Record 1
Entry from the Alexandria database: a geometry-optimized Ta4Te structure (GGA-PBE).

Structure (POSCAR):
```
Ta4Te
1.0
2.5221 -1.5862 7.3062
-2.6653 -2.8069 6.8757
0.7183 -0.2830 -7.8525
Ta Te
4 1
Cartesian
-1.0093 -2.6432 3.0571 Ta
-0.0568 -1.7423 5.6246 Ta
-0.0864 -2.6507 8.5573 Ta
1.5844 -2.0328 3.2723 Ta
0.0000 0.0000 0.0000 Te
```

SG: I4/mmm (139)
density: 13.32 g cm⁻³
magnetization: 0.00 μB/f.u.
formation energy (no corrections): 0.717 eV/atom
energy: -9.394 eV per atom

=====

Record 2
Entry from the Alexandria database: a geometry-optimized AcInPb2S5 structure (GGA-PBE).

Structure (POSCAR):
```
AcInPb2S5
1.0
4.2392 0.0000 0.0000
-2.1196 9.0018 0.0000
0.0000 0.0000 12.7227
Ac S Pb In
2 10 4 2
Cartesian
0.0000 3.9784 0.0172 Ac
2.1196 5.0235 6.3786 Ac
2.1196 3.9978 2.1195 S
0.0000 6.0172 4.6347 S
2.1196 8.0016 7.1983 S
2.1196 2.1176 6.6391 S
0.0000 6.8842 0.2777 S
0.0000 5.0040 8.4809 S
2.1196 0.2876 3.5236 S
0.0000 8.7142 9.8850 S
2.1196 2.9846 10.9961 S
0.0000 1.0003 0.8370 S
2.1196 6.8640 2.3248 Pb
0.0000 2.1378 8.6861 Pb
0.0000 2.1850 3.6136 Pb
2.1196 6.8168 9.9750 Pb
2.1196 0.5298 12.2192 In
0.0000 8.4720 5.8578 In
```

SG: Cmc2_1 (36)
density: 6.27 g cm⁻³
magnetization: 0.00 μB/f.u.
formation energy (no corrections): -0.935 eV/atom
energy: -4.813 eV per atom

=====

Record 3
Entry from the Alexandria database: a geometry-optimized Nd3HfTl4Te8 structure (GGA-PBE).

Structure (POSCAR):
```
Nd3HfTl4Te8
1.0
-1.5656 -1.4851 8.6383
5.8044 -7.7686 -0.2836
3.4490 7.7768 -2.6266
Hf Te Tl Nd
1 8 4 3
Cartesian
2.9022 -3.8843 -0.1418 Hf
2.9678 1.4997 0.7957 Te
0.4930 -3.2788 6.5723 Te
5.3479 -2.3634 0.5629 Te
7.1948 1.8019 -0.8442 Te
6.3561 1.0064 3.7830 Te
1.3316 -2.4832 1.9452 Te
4.7200 -2.9765 4.9324 Te
2.3399 0.8866 5.1652 Te
-0.7828 -0.7426 4.3192 Tl
0.9417 3.1458 3.0059 Tl
0.0000 0.0000 0.0000 Tl
1.7245 3.8884 -1.3133 Tl
4.6267 0.0041 -1.4551 Nd
2.1194 -4.6268 4.1774 Nd
3.8439 -0.7384 2.8641 Nd
```

SG: R-3m (166)
density: 7.20 g cm⁻³
magnetization: 0.00 μB/f.u.
formation energy (no corrections): -0.925 eV/atom
energy: -4.603 eV per atom

=====

Question: Among the records above, which one has the highest density?
Answer: Ta4Te

=====

Question: Which formula does entry 3 have?
Answer: Nd3HfTl4Te8

=====

Question: What is the density in the third record?
Answer: 7.20 g cm⁻³

=====

Question: energy of number 3 (Nd3HfTl4Te8)?
Answer: -4.603 eV per atom